Here is a geometry-optimized SiHg2As structure from Alexandria. Energies are from GGA-PBE.

Unit cell a=6.4216 b=6.4216 c=6.9649 alpha=62.55 beta=62.55 gamma=90.00
Fractional positions:
Si1 0.2500 0.7500 0.5000
Si2 0.5000 0.5000 0.0000
Hg1 0.1364 0.6250 0.2500
Hg2 0.3750 0.3864 0.7500
Hg3 0.8750 0.8636 0.7500
Hg4 0.6136 0.1250 0.2500
As1 0.7500 0.2500 0.5000
As2 0.0000 0.0000 0.0000

Values from the calculation:
Energy relative to the lowest polymorph listed for this composition in kJ per mole of atoms: 39.3
ΔE_f (raw) in meV/atom: 508.2
Total moment in μB/f.u.: 0.00
SG: I-42d (122)